Density functional theory data (PBE-GGA) for a relaxed Ac2Ge3AsPd4 crystal.

a = 4.5326 Å, b = 4.5326 Å, c = 10.1265 Å
α = 90.00°, β = 90.00°, γ = 90.00°
Fractional coordinates of all 10 atoms:
Ac  0.0000  0.5000  0.2478
Ac  0.5000  0.0000  0.7522
Ge  0.0000  0.0000  0.0000
Ge  0.0000  0.5000  0.6241
Ge  0.5000  0.0000  0.3759
As  0.5000  0.5000  0.0000
Pd  0.0000  0.0000  0.5000
Pd  0.0000  0.5000  0.8760
Pd  0.5000  0.0000  0.1240
Pd  0.5000  0.5000  0.5000

Values from the calculation:
ΔH_f (0 K): -0.8436 eV/atom
density: 9.4 g cm⁻³
space group: P-4m2